No. 1
First-principles (PBE) data for an optimized crystal structure of BRh3Pb, as listed in Alexandria.

Calculated formation energy, eV/atom: -0.204
Crystal system: cubic
Space group: Pm-3m
DOS at the Fermi energy, states/eV per atom: 0.168
Relative energy among the computed polymorphs, meV per atom: 19

Cell: 4.199 4.199 4.199 Å, 90.00 90.00 90.00°
Sites, in units of the cell vectors:
Rh 0.500 0.000 0.000
Rh 0.000 0.500 0.000
Rh 0.000 0.000 0.500
B 0.000 0.000 0.000
Pb 0.500 0.500 0.500


No. 2
First-principles (PBE) data for an optimized crystal structure of Hf2AgS, as listed in Alexandria.

Crystal system: tetragonal
Space group: I-42d
DOS at the Fermi energy, states/eV per atom: 0.978
Uncorrected formation energy, meV/atom: 133

Cell: 5.805 5.805 7.317 Å, 66.63 66.63 90.00°
Sites, in units of the cell vectors:
S 0.250 0.750 0.500
S 0.500 0.500 0.000
Hf 0.875 0.842 0.750
Hf 0.158 0.625 0.250
Hf 0.375 0.408 0.750
Hf 0.592 0.125 0.250
Ag 0.750 0.250 0.500
Ag 0.000 0.000 0.000


No. 3
First-principles (PBE) data for an optimized crystal structure of Tb3HoEr2S6, as listed in Alexandria.

Crystal system: monoclinic
Space group: C2/m
DOS at the Fermi energy, states/eV per atom: 0.407
Uncorrected formation energy, meV/atom: -1990

Cell: 6.753 6.753 6.760 Å, 99.54 99.54 120.22°
Sites, in units of the cell vectors:
Tb 0.500 0.500 0.500
Tb 0.166 0.834 0.500
Tb 0.834 0.166 0.500
S 0.081 0.416 0.245
S 0.253 0.253 0.756
S 0.416 0.081 0.245
S 0.919 0.584 0.755
S 0.584 0.919 0.755
S 0.747 0.747 0.244
Ho 0.000 0.000 0.000
Er 0.333 0.667 0.000
Er 0.667 0.333 0.000


No. 4
First-principles (PBE) data for an optimized crystal structure of LiPmHoHg, as listed in Alexandria.

Calculated formation energy, eV/atom: -0.204
Crystal system: cubic
Space group: F-43m
DOS at the Fermi energy, states/eV per atom: 1.305

Cell: 5.279 5.279 5.279 Å, 60.00 60.00 60.00°
Site moments in Bohr magnetons follow the coordinates.
Sites, in units of the cell vectors:
Pm 0.250 0.250 0.250  0.04
Li 0.000 0.000 0.000  0.00
Ho 0.750 0.750 0.750  0.06
Hg 0.500 0.500 0.500  0.01